{
  "formula": "LiNp2PdPt5",
  "functional": "PBE",
  "state": "relaxed",
  "lattice_angstrom": [[-3.7800, 3.7800, 5.9243], [3.7800, -3.7800, 5.9243], [3.7800, 3.7800, -5.9243]],
  "species": ["Li", "Li", "Np", "Np", "Np", "Np", "Pd", "Pd", "Pt", "Pt", "Pt", "Pt", "Pt", "Pt", "Pt", "Pt", "Pt", "Pt"],
  "frac_coords": [[0.2500, 0.2500, 0.0000], [0.7500, 0.7500, 0.0000], [0.1090, 0.6090, 0.7180], [0.3910, 0.1090, 0.5000], [0.6090, 0.8910, 0.5000], [0.8910, 0.3910, 0.2820], [0.2500, 0.7500, 0.5000], [0.7500, 0.2500, 0.5000], [0.0000, 0.0000, 0.0000], [0.0723, 0.1433, 0.5000], [0.1433, 0.6433, 0.0710], [0.3567, 0.4277, 0.5000], [0.4277, 0.9277, 0.0710], [0.5000, 0.5000, 0.0000], [0.5723, 0.0723, 0.9290], [0.6433, 0.5723, 0.5000], [0.8567, 0.3567, 0.9290], [0.9277, 0.8567, 0.5000]],
  "dos_ef_per_ev_atom": 1.2112,
  "crystal_system": "tetragonal",
  "final_energy_ev_per_atom": -7.17,
  "vol_a3_per_atom": 18.81
}